8
Lattice="3.227 0.000 0.000 -1.613 2.794 0.000 0.000 0.000 11.875" Properties=species:S:1:pos:R:3 comment="PBE Mo4AsC2S, optimized geometry" sg="P-6m2 (187)" pbc="T T T"
Mo 0.000 0.000 1.856
Mo 0.000 0.000 10.019
Mo 1.613 0.931 3.993
Mo 1.613 0.931 7.883
As 0.000 0.000 5.938
C 0.000 1.863 2.915
C 0.000 1.863 8.960
S 1.613 0.931 0.000



6
Lattice="3.581 -1.933 0.000 3.581 1.933 0.000 -0.942 0.000 10.259" Properties=species:S:1:pos:R:3 comment="PBE Sm2C2BrCl, optimized geometry" sg="Cm (8)" pbc="T T T"
Sm 0.000 0.000 0.000
Sm 4.403 0.000 7.250
C 1.182 0.000 9.128
C 2.292 0.000 8.391
Br 4.713 0.000 1.919
Cl -0.274 0.000 5.535



no.,total magnetization (μB per cell),V (Å³ per atom),E (eV per atom)
1,0.009,13.385,-8.89
2,0.003,23.679,-6.38